Entry 1:
Here is a relaxed structure of ZnSi2Te from Alexandria via LeMat-Bulk. Energies are from PBE-GGA.

The total magnetization is 0.0 μB/f.u. The uncorrected formation energy is 233 meV per atom. As for the space-group type: No. 6. The calculation puts the polymorph energy (0 for the lowest one) at 72 meV/atom.

a b c (Å): 3.916 3.217 6.917
angles (deg): 89.98 90.00 90.00
Atoms (fractional coordinates):
Si 0.000 0.749 0.127
Si 0.500 0.250 0.068
Te 0.000 0.752 0.522
Zn 0.500 0.749 0.783



Entry 2:
Here is a relaxed structure of Zn2Si2Te from Alexandria via LeMat-Bulk. Energies are from PBE-GGA.

The total magnetization is 0.0 μB/f.u. The uncorrected formation energy is 306 meV per atom. As for the space-group type: No. 139. The calculation puts the polymorph energy (0 for the lowest one) at 59 meV/atom.

a b c (Å): 6.048 6.048 6.048
angles (deg): 138.44 138.44 60.23
Atoms (fractional coordinates):
Zn 0.250 0.750 0.500
Zn 0.750 0.250 0.500
Si 0.611 0.611 0.000
Si 0.389 0.389 0.000
Te 0.000 0.000 0.000